No. 1
AlNi6Os | Alexandria via LeMat-Bulk | GGA-PBE | relaxed; raw total energy = -6.344 eV per atom; size of the total moment = 0.21 μB/atom; space-group type = Cmmm, No. 65; density = 10.2 g cm⁻³; energy of formation = -0.137 eV per atom
1.0
3.5913 -5.0763 0.0000
3.5913 5.0763 0.0000
0.0000 0.0000 10.1576
Al Ni Os
4 24 4
Cartesian
0.0000 0.0000 2.5083
0.0000 0.0000 7.6493
3.5913 2.5391 0.0000
3.5913 -2.5391 0.0000
0.0000 0.0000 0.0000
0.0000 0.0000 5.0788
1.7982 1.2722 3.7961
1.7982 1.2722 6.3615
1.7997 1.2658 1.2654
1.7997 1.2658 8.8922
3.5913 2.5295 2.5469
3.5913 2.5295 7.6107
1.7997 -1.2658 1.2654
1.7997 -1.2658 8.8922
1.7982 -1.2722 3.7961
1.7982 -1.2722 6.3615
3.5913 0.0000 0.0000
3.5913 0.0000 5.0788
5.3843 1.2722 3.7961
5.3843 1.2722 6.3615
5.3828 1.2658 1.2654
5.3828 1.2658 8.8922
3.5913 -2.5295 2.5469
3.5913 -2.5295 7.6107
5.3828 -1.2658 1.2654
5.3828 -1.2658 8.8922
5.3843 -1.2722 3.7961
5.3843 -1.2722 6.3615
3.5913 2.5575 5.0788
3.5913 0.0000 2.5050
3.5913 0.0000 7.6527
3.5913 -2.5575 5.0788

=====

No. 2
Y8Te4As3H | Alexandria via LeMat-Bulk | GGA-PBE | relaxed; raw total energy = -6.382 eV per atom; size of the total moment = 0.00 μB/atom; space-group type = R-3m, No. 166; density = 5.7 g cm⁻³
1.0
4.1535 2.3980 7.0466
-4.1535 2.3980 7.0466
0.0000 -4.7960 7.0466
Y Te As H
8 4 3 1
Cartesian
0.0000 0.0000 5.0409
-2.0711 -1.1958 12.1048
0.0000 -2.3915 9.0349
-2.0711 1.1958 9.0349
2.0711 -1.1958 12.1048
0.0000 2.3915 12.1048
2.0711 1.1958 9.0349
0.0000 0.0000 16.0988
0.0000 0.0000 0.0000
-2.0767 -1.1990 7.0466
-2.0767 1.1990 14.0931
0.0000 2.3980 7.0466
-4.1535 0.0000 10.5698
-2.0767 1.1990 3.5233
2.0767 1.1990 3.5233
0.0000 0.0000 10.5698

=====

No. 3
HoH8Rh6 | Alexandria via LeMat-Bulk | GGA-PBE | relaxed; raw total energy = -5.221 eV per atom; size of the total moment = 0.00 μB/atom; space-group type = R-3, No. 148; density = 9.9 g cm⁻³
1.0
3.9638 2.2885 2.4441
-3.9638 2.2885 2.4441
0.0000 -4.5770 2.4441
Ho H Rh
1 8 6
Cartesian
0.0000 0.0000 0.0000
-1.7948 -1.8117 3.8997
-2.4663 0.6485 3.4325
0.0000 0.0000 2.3235
0.6716 -2.4601 3.4325
-0.6716 2.4602 3.8997
0.0000 0.0000 5.0087
2.4663 -0.6485 3.8997
1.7948 1.8117 3.4325
-0.6423 -1.6834 2.4786
-1.1367 1.3979 2.4786
-1.7790 -0.2855 4.8536
1.7790 0.2855 2.4786
1.1367 -1.3979 4.8536
0.6423 1.6834 4.8536

=====

No. 4
CeMgZn2Pt4 | Alexandria via LeMat-Bulk | GGA-PBE | relaxed; raw total energy = -5.042 eV per atom; size of the total moment = 0.00 μB/atom; space-group type = R-3m, No. 166; density = 12.8 g cm⁻³; energy of formation = -0.762 eV per atom
1.0
2.1948 1.2672 8.3602
-2.1948 1.2672 8.3602
0.0000 -2.5343 8.3602
Ce Mg Zn Pt
1 1 2 4
Cartesian
0.0000 0.0000 0.0000
0.0000 0.0000 12.5404
0.0000 0.0000 6.0295
0.0000 0.0000 19.0512
0.0000 0.0000 3.2048
0.0000 0.0000 9.9270
0.0000 0.0000 15.1537
0.0000 0.0000 21.8759

=====

No. 5
Si2TeI | Alexandria via LeMat-Bulk | GGA-PBE | relaxed; uncorrected formation energy = 658 meV/atom; relative energy among the computed polymorphs = 65 meV per atom; raw total energy = -3.226 eV per atom; size of the total moment = 0.00 μB/atom; space-group type = Fm-3m, No. 225; density = 5.3 g cm⁻³
1.0
0.0000 3.6464 3.6464
3.6464 0.0000 3.6464
3.6464 3.6464 0.0000
Si Te I
2 1 1
Cartesian
1.8232 1.8232 1.8232
5.4695 5.4695 5.4695
0.0000 0.0000 0.0000
3.6464 3.6464 3.6464

=====

No. 6
Ho2GaRh2 | Alexandria via LeMat-Bulk | GGA-PBE | relaxed; raw total energy = -6.270 eV per atom; size of the total moment = 0.00 μB/atom; space-group type = C2/c, No. 15; density = 10.0 g cm⁻³; energy of formation = -0.893 eV per atom
1.0
5.0505 -2.7013 0.0000
5.0505 2.7013 0.0000
-2.0064 0.0000 7.3321
Ho Ga Rh
4 2 4
Cartesian
1.8643 1.8981 6.2371
5.2271 1.8981 4.7611
2.8675 -1.8981 2.5711
6.2303 -1.8981 1.0950
4.5489 0.8092 1.8330
3.5457 -0.8092 5.4991
2.7270 0.7508 3.6152
6.3709 0.7508 0.0508
1.7238 -0.7508 7.2813
5.3677 -0.7508 3.7169

=====

No. 7
Pm3InGa8 | Alexandria via LeMat-Bulk | GGA-PBE | relaxed; raw total energy = -3.864 eV per atom; size of the total moment = 0.00 μB/atom; space-group type = R3m, No. 160; density = 7.3 g cm⁻³; energy of formation = -0.430 eV per atom
1.0
2.8335 1.6359 9.0609
-2.8335 1.6359 9.0609
0.0000 -3.2718 9.0609
Pm In Ga
3 1 8
Cartesian
0.0000 0.0000 0.0000
0.0000 0.0000 3.5807
0.0000 0.0000 13.9485
0.0000 0.0000 17.2378
0.0000 -1.6105 6.3402
-1.3947 0.8052 6.3402
-1.3972 -0.8067 10.9535
0.0000 0.0000 8.5934
1.3947 0.8052 6.3402
1.3972 -0.8067 10.9535
0.0000 1.6134 10.9535
0.0000 0.0000 22.2605

=====

No. 8
CdHg2P | Alexandria via LeMat-Bulk | GGA-PBE | relaxed; relative energy among the computed polymorphs = 81 meV per atom; raw total energy = -1.574 eV per atom; size of the total moment = 0.00 μB/atom; space-group type = Amm2, No. 38; density = 8.4 g cm⁻³; energy of formation = 0.158 eV per atom
1.0
4.3390 0.0000 0.0000
0.0000 2.2655 5.4621
0.0000 -2.2655 5.4621
Cd Hg P
1 2 1
Cartesian
0.0000 0.0000 0.0000
0.0000 0.0000 7.1671
2.1695 0.0000 2.9116
2.1695 0.0000 9.4889

=====

No. 9
MgAsW3 | Alexandria via LeMat-Bulk | GGA-PBE | relaxed; relative energy among the computed polymorphs = 0 meV per atom; raw total energy = -7.596 eV per atom; size of the total moment = 0.00 μB/atom; space-group type = Pm-3m, No. 221; density = 10.8 g cm⁻³; energy of formation = 1.425 eV per atom
1.0
4.6425 0.0000 0.0000
0.0000 4.6425 0.0000
0.0000 0.0000 4.6425
Mg As W
1 1 3
Cartesian
0.0000 0.0000 0.0000
2.3213 2.3213 2.3213
0.0000 2.3213 2.3213
2.3213 0.0000 2.3213
2.3213 2.3213 0.0000

=====

No. 10
HoN4 | Alexandria via LeMat-Bulk | GGA-PBE | relaxed; uncorrected formation energy = 2538 meV/atom; raw total energy = -5.038 eV per atom; size of the total moment = 1.80 μB/atom; space-group type = Pm-3m, No. 221; density = 3.5 g cm⁻³
1.0
4.7249 0.0000 0.0000
0.0000 4.7249 0.0000
0.0000 0.0000 4.7249
Ho N
1 4
Cartesian
0.0000 0.0000 0.0000
0.0000 0.0000 2.3625
0.0000 2.3625 0.0000
2.3625 0.0000 0.0000
2.3625 2.3625 2.3625

=====

No. 11
MgOs2F | Alexandria via LeMat-Bulk | GGA-PBE | relaxed; uncorrected formation energy = 373 meV/atom; relative energy among the computed polymorphs = 0 meV per atom; raw total energy = -6.108 eV per atom; size of the total moment = 0.00 μB/atom; space-group type = I-42d, No. 122; density = 10.6 g cm⁻³
1.0
-4.0139 4.0139 2.0617
4.0139 -4.0139 2.0617
4.0139 4.0139 -2.0617
Mg Os F
2 4 2
Cartesian
0.0000 0.0000 0.0000
0.0000 4.0139 1.0309
2.0070 -1.4573 1.5463
2.5567 2.0070 0.5154
2.0070 5.4712 -0.5154
1.4573 2.0070 2.5772
4.0139 0.0000 1.0309
0.0000 0.0000 2.0617

=====

No. 12
TaZnIr2 | Alexandria via LeMat-Bulk | GGA-PBE | relaxed; raw total energy = -7.730 eV per atom; size of the total moment = 0.00 μB/atom; space-group type = F-43m, No. 216; density = 17.0 g cm⁻³; energy of formation = -0.018 eV per atom
1.0
0.0000 3.1379 3.1379
3.1379 0.0000 3.1379
3.1379 3.1379 0.0000
Ta Zn Ir
1 1 2
Cartesian
0.0000 0.0000 0.0000
1.5689 1.5689 1.5689
3.1379 3.1379 3.1379
4.7068 4.7068 4.7068